(1)
This record from the Alexandria database describes an optimized crystal structure of LaIn4Cl. The functional is GGA-PBE.

Properties
Total energy (eV per atom): -3.31
Formation energy without anion corrections (eV per atom): -0.351

Cell: 6.165 6.165 6.165 Å, 60.00 60.00 60.00°
Fractional positions:
La: 0.000 0.000 0.000
In: 0.375 0.375 0.375
In: 0.375 0.375 0.875
In: 0.375 0.875 0.375
In: 0.875 0.375 0.375
Cl: 0.750 0.750 0.750

=====

(2)
This record from the Alexandria database describes an optimized crystal structure of AlRe3Ru. The functional is GGA-PBE.

Properties
Formation enthalpy at 0 K (eV/atom): 2.078
Total energy (eV per atom): -7.99

Cell: 4.643 4.643 4.643 Å, 90.00 90.00 90.00°
Fractional positions:
Al: 0.000 0.000 0.000
Re: 0.000 0.500 0.500
Re: 0.500 0.000 0.500
Re: 0.500 0.500 0.000
Ru: 0.500 0.500 0.500

=====

(3)
This record from the Alexandria database describes an optimized crystal structure of DyIn2Ir. The functional is GGA-PBE.

Properties
Formation enthalpy at 0 K (eV/atom): 0.236
Total energy (eV per atom): -4.50

Cell: 10.613 10.613 10.613 Å, 17.75 17.75 17.75°
Fractional positions:
Dy: 0.000 0.000 0.000
In: 0.101 0.101 0.101
In: 0.899 0.899 0.899
Ir: 0.500 0.500 0.500

=====

(4)
This record from the Alexandria database describes an optimized crystal structure of HfHgPd. The functional is GGA-PBE.

Properties
Formation enthalpy at 0 K (eV/atom): -0.331
Total energy (eV per atom): -5.48

Cell: 4.913 4.913 8.950 Å, 115.05 115.05 39.92°
Fractional positions:
Hf: 0.010 0.010 0.198
Hf: 0.990 0.990 0.802
Hg: 0.172 0.172 0.588
Hg: 0.828 0.828 0.412
Pd: 0.332 0.332 0.937
Pd: 0.668 0.668 0.063

=====

(5)
This record from the Alexandria database describes an optimized crystal structure of Sc2Cd6Ag. The functional is GGA-PBE.

Properties
Formation enthalpy at 0 K (eV/atom): -0.155
Total energy (eV per atom): -2.49

Cell: 4.891 4.891 9.177 Å, 90.00 90.00 120.00°
Fractional positions:
Sc: 0.333 0.667 0.281
Sc: 0.667 0.333 0.719
Cd: 0.000 0.000 0.172
Cd: 0.000 0.000 0.828
Cd: 0.333 0.667 0.601
Cd: 0.333 0.667 0.933
Cd: 0.667 0.333 0.067
Cd: 0.667 0.333 0.399
Ag: 0.000 0.000 0.500

=====

(6)
This record from the Alexandria database describes an optimized crystal structure of AcSmDy2Y. The functional is GGA-PBE.

Properties
Formation enthalpy at 0 K (eV/atom): 0.353
Total energy (eV per atom): -4.55

Cell: 7.315 7.315 7.360 Å, 90.00 90.00 109.06°
Fractional positions:
Ac: 0.237 0.763 0.750
Ac: 0.763 0.237 0.250
Sm: 0.487 0.513 0.250
Sm: 0.513 0.487 0.750
Dy: 0.189 0.189 0.000
Dy: 0.189 0.189 0.500
Dy: 0.811 0.811 0.000
Dy: 0.811 0.811 0.500
Y: 0.211 0.789 0.250
Y: 0.789 0.211 0.750

=====

(7)
This record from the Alexandria database describes an optimized crystal structure of Fe3PdPt2. The functional is GGA-PBE.

Properties
Formation enthalpy at 0 K (eV/atom): -0.187
Total energy (eV per atom): -7.30

Cell: 7.151 7.151 3.862 Å, 105.60 105.60 107.55°
Fractional positions:
Fe: 0.000 0.500 0.000
Fe: 0.165 0.333 0.499
Fe: 0.333 0.165 0.999
Fe: 0.500 0.000 0.500
Fe: 0.667 0.835 0.001
Fe: 0.835 0.667 0.501
Pd: 0.418 0.582 0.250
Pd: 0.582 0.418 0.750
Pt: 0.084 0.916 0.250
Pt: 0.252 0.748 0.750
Pt: 0.748 0.252 0.250
Pt: 0.916 0.084 0.750

=====

(8)
This record from the Alexandria database describes an optimized crystal structure of Ba3Zn3Cd8. The functional is GGA-PBE.

Properties
Formation enthalpy at 0 K (eV/atom): -0.216
Total energy (eV per atom): -1.42

Cell: 9.268 9.268 9.268 Å, 147.97 113.60 75.63°
Fractional positions:
Ba: 0.000 0.000 0.000
Ba: 0.292 0.292 0.000
Ba: 0.708 0.708 0.000
Zn: 0.337 0.500 0.837
Zn: 0.500 0.000 0.500
Zn: 0.663 0.500 0.163
Cd: 0.003 0.654 0.350
Cd: 0.171 0.873 0.298
Cd: 0.304 0.654 0.650
Cd: 0.425 0.127 0.298
Cd: 0.575 0.873 0.702
Cd: 0.696 0.346 0.350
Cd: 0.829 0.127 0.702
Cd: 0.997 0.346 0.650

=====

Among the records above, which one has the highest total energy?
Ba3Zn3Cd8